[1]
Compound: NaEu2Pt
Source: Alexandria via LeMat-Bulk
Functional: PBE-GGA
Structure: relaxed

POSCAR file:
```
NaEu2Pt
1.0
3.6647 0.0000 0.0000
0.0000 3.6647 0.0000
0.0000 0.0000 9.4096
Na Eu Pt
1 2 1
Cartesian
0.0000 0.0000 0.0000
1.8324 1.8324 3.0036
1.8324 1.8324 6.4061
0.0000 0.0000 4.7048
```

[2]
Compound: NaEuPt
Source: Alexandria via LeMat-Bulk
Functional: PBE-GGA
Structure: relaxed

POSCAR file:
```
NaEuPt
1.0
6.9726 0.0000 0.0000
0.0000 6.9726 0.0000
0.0000 0.0000 6.9726
Na Eu Pt
4 4 4
Cartesian
0.0000 0.0000 0.0000
0.0000 3.4863 3.4863
3.4863 0.0000 3.4863
3.4863 3.4863 0.0000
0.0000 0.0000 3.4863
0.0000 3.4863 0.0000
3.4863 0.0000 0.0000
3.4863 3.4863 3.4863
1.7431 1.7431 5.2294
1.7431 5.2294 1.7431
5.2294 1.7431 1.7431
5.2294 5.2294 5.2294
```

[3]
Compound: NaEu2Pt
Source: Alexandria via LeMat-Bulk
Functional: PBE-GGA
Structure: relaxed

POSCAR file:
```
NaEu2Pt
1.0
4.1564 0.0000 0.0000
-2.0782 3.5996 0.0000
0.0000 0.0000 32.2407
Na Eu Pt
3 6 3
Cartesian
0.0000 0.0000 0.0000
0.0000 2.3997 21.4938
2.0782 1.1999 10.7469
0.0000 0.0000 3.7324
0.0000 0.0000 28.5083
0.0000 2.3997 17.7614
0.0000 2.3997 25.2262
2.0782 1.1999 7.0145
2.0782 1.1999 14.4793
0.0000 0.0000 16.1204
0.0000 2.3997 5.3735
2.0782 1.1999 26.8673
```

[4]
Compound: NaEuTlPt
Source: Alexandria via LeMat-Bulk
Functional: PBE-GGA
Structure: relaxed

POSCAR file:
```
NaEuTlPt
1.0
7.2019 0.0000 0.0000
0.0000 7.2019 0.0000
0.0000 0.0000 7.2019
Na Eu Tl Pt
4 4 4 4
Cartesian
0.0000 0.0000 0.0000
0.0000 3.6010 3.6010
3.6010 0.0000 3.6010
3.6010 3.6010 0.0000
1.8005 1.8005 1.8005
1.8005 5.4014 5.4014
5.4014 1.8005 5.4014
5.4014 5.4014 1.8005
1.8005 1.8005 5.4014
1.8005 5.4014 1.8005
5.4014 1.8005 1.8005
5.4014 5.4014 5.4014
0.0000 0.0000 3.6010
0.0000 3.6010 0.0000
3.6010 0.0000 0.0000
3.6010 3.6010 3.6010
```

[5]
Compound: RbNa2Eu
Source: Alexandria via LeMat-Bulk
Functional: PBE-GGA
Structure: relaxed

POSCAR file:
```
RbNa2Eu
1.0
9.3474 0.0000 0.0000
0.0000 9.3474 0.0000
0.0000 0.0000 9.3474
Rb Na Eu
4 8 4
Cartesian
0.0000 0.0000 0.0000
0.0000 4.6737 4.6737
4.6737 0.0000 4.6737
4.6737 4.6737 0.0000
2.3368 2.3368 2.3368
2.3368 2.3368 7.0105
2.3368 7.0105 2.3368
2.3368 7.0105 7.0105
7.0105 2.3368 2.3368
7.0105 2.3368 7.0105
7.0105 7.0105 2.3368
7.0105 7.0105 7.0105
0.0000 0.0000 4.6737
0.0000 4.6737 0.0000
4.6737 0.0000 0.0000
4.6737 4.6737 4.6737
```

[6]
Compound: RbNa2Eu
Source: Alexandria via LeMat-Bulk
Functional: PBE-GGA
Structure: relaxed

POSCAR file:
```
RbNa2Eu
1.0
4.0312 0.0000 0.0000
-2.0156 3.4911 0.0000
0.0000 0.0000 44.0420
Rb Na Eu
3 6 3
Cartesian
0.0000 0.0000 0.0000
0.0000 2.3274 29.3614
2.0156 1.1637 14.6807
0.0000 0.0000 18.3597
0.0000 0.0000 25.6824
0.0000 2.3274 3.6790
0.0000 2.3274 11.0017
2.0156 1.1637 33.0403
2.0156 1.1637 40.3631
0.0000 0.0000 22.0210
0.0000 2.3274 7.3404
2.0156 1.1637 36.7017
```

[7]
Compound: RbNa2Eu
Source: Alexandria via LeMat-Bulk
Functional: PBE-GGA
Structure: relaxed

POSCAR file:
```
RbNa2Eu
1.0
4.3084 0.0000 0.0000
0.0000 4.3084 0.0000
0.0000 0.0000 10.7745
Rb Na Eu
1 2 1
Cartesian
0.0000 0.0000 0.0000
2.1542 2.1542 3.0029
2.1542 2.1542 7.7716
0.0000 0.0000 5.3872
```

[8]
Compound: RbNa2Eu
Source: Alexandria via LeMat-Bulk
Functional: PBE-GGA
Structure: relaxed

POSCAR file:
```
RbNa2Eu
1.0
6.8017 0.0000 0.0000
0.0000 6.8017 0.0000
0.0000 0.0000 4.3069
Rb Na Eu
1 2 1
Cartesian
0.0000 0.0000 0.0000
0.0000 3.4008 2.1535
3.4008 0.0000 2.1535
3.4008 3.4008 0.0000
```

Values for ΔH_f (0 K), eV/atom, ordered as above
-0.4896 -0.4189 -0.4283 -0.3599 0.1521 0.2094 0.0975 0.1233